1.
# PBE Mg2ZnTc, optimized geometry
# Relative energy among the computed polymorphs   126 meV/atom
# E_form   0.211 eV/atom
data_Mg2ZnTc
_chemical_formula_sum 'Mg8 Zn4 Tc4'
_symmetry_space_group_name_H-M 'F -4 3 m'
_symmetry_Int_Tables_number 216
_symmetry_space_group_name_Hall 'F -4 2 3'
_cell_length_a 6.402
_cell_length_b 6.402
_cell_length_c 6.402
_cell_angle_alpha 90.00
_cell_angle_beta 90.00
_cell_angle_gamma 90.00
loop_
_atom_site_label
_atom_site_type_symbol
_atom_site_fract_x
_atom_site_fract_y
_atom_site_fract_z
Mg1 Mg 0.000 0.000 0.000
Mg2 Mg 0.250 0.250 0.250
Zn1 Zn 0.000 0.000 0.500
Tc1 Tc 0.250 0.250 0.750

***

2.
# PBE K2BaHg2, optimized geometry
# Relative energy among the computed polymorphs   0 meV/atom
# E_form   -0.234 eV/atom
data_K2BaHg2
_chemical_formula_sum 'K4 Ba2 Hg4'
_symmetry_space_group_name_H-M 'P 4/m b m'
_symmetry_Int_Tables_number 127
_symmetry_space_group_name_Hall '-P 4 2ab'
_cell_length_a 8.862
_cell_length_b 8.862
_cell_length_c 5.562
_cell_angle_alpha 90.00
_cell_angle_beta 90.00
_cell_angle_gamma 90.00
loop_
_atom_site_label
_atom_site_type_symbol
_atom_site_fract_x
_atom_site_fract_y
_atom_site_fract_z
K1 K 0.165 0.335 0.000
Ba1 Ba 0.000 0.000 0.500
Hg1 Hg 0.121 0.621 0.500

***

3.
# PBE PaGaGe2O8, optimized geometry
# E_form (uncorrected)   -2.087 eV per atom
data_PaGaGe2O8
_chemical_formula_sum 'Pa2 Ga2 Ge4 O16'
_symmetry_space_group_name_H-M 'I -4 m 2'
_symmetry_Int_Tables_number 119
_symmetry_space_group_name_Hall 'I -4 -2'
_cell_length_a 6.758
_cell_length_b 6.758
_cell_length_c 6.529
_cell_angle_alpha 90.00
_cell_angle_beta 90.00
_cell_angle_gamma 90.00
loop_
_atom_site_label
_atom_site_type_symbol
_atom_site_fract_x
_atom_site_fract_y
_atom_site_fract_z
Pa1 Pa 0.000 0.000 0.000
Ga1 Ga 0.000 0.500 0.750
Ge1 Ge 0.000 0.000 0.500
Ge2 Ge 0.000 0.500 0.250
O1 O 0.000 0.196 0.687
O2 O 0.000 0.313 0.065

***

4.
# PBE LiNd4Ga, optimized geometry
# E_form   -0.100 eV/atom
data_LiNd4Ga
_chemical_formula_sum 'Li4 Nd16 Ga4'
_symmetry_space_group_name_H-M 'C m c 21'
_symmetry_Int_Tables_number 36
_cell_length_a 3.618
_cell_length_b 33.803
_cell_length_c 5.870
_cell_angle_alpha 90.00
_cell_angle_beta 90.00
_cell_angle_gamma 90.00
loop_
_symmetry_equiv_pos_as_xyz
'x,y,z'
'-x,-y,z+1/2'
'-x,y,z'
'x,-y,z+1/2'
'x+1/2,y+1/2,z'
'-x+1/2,-y+1/2,z+1/2'
'-x+1/2,y+1/2,z'
'x+1/2,-y+1/2,z+1/2'
loop_
_atom_site_label
_atom_site_type_symbol
_atom_site_fract_x
_atom_site_fract_y
_atom_site_fract_z
Li1 Li 0.000 0.000 0.000
Nd1 Nd 0.000 0.093 0.224
Nd2 Nd 0.000 0.167 0.616
Nd3 Nd 0.000 0.236 0.194
Nd4 Nd 0.000 0.422 0.253
Ga1 Ga 0.000 0.337 0.568